VASP calculation (PBE) on a relaxed Mg4GaAg2 crystal.

Calculated values
The value obtained for the theoretical density is 4.4 g/cm³. The value obtained for the formation energy is -124 meV per atom. The calculation puts the energy above the most stable polymorph in this dataset at 0.00 eV/f.u.

abc: 4.6637 4.6637 22.8563
angles: 90.00 90.00 120.00
Space group R-3m (No. 166, hexagonal axes)
One atom of each set of equivalent atoms:
Mg (0.0000, 0.0000, 0.1197) [6 per cell]
Mg (0.0000, 0.0000, 0.3708) [6 per cell]
Ga (0.0000, 0.0000, 0.5000) [3 per cell]
Ag (0.0000, 0.0000, 0.2486) [6 per cell]


VASP calculation (PBE) on a relaxed YCuRh2 crystal.

Calculated values
The value obtained for the theoretical density is 8.9 g/cm³. The value obtained for the formation energy is -172 meV per atom. The calculation puts the energy above the most stable polymorph in this dataset at 0.99 eV/f.u.

abc: 5.645 8.930 2.987
angles: 90.00 117.50 90.00
Space group C2/m (No. 12)
One atom of each set of equivalent atoms:
Y (0.000, 0.000, 0.000) [2 per cell]
Cu (0.000, 0.500, 0.000) [2 per cell]
Rh (0.250, 0.250, 0.500) [4 per cell]


VASP calculation (PBE) on a relaxed Sr2PuP crystal.

Calculated values
The value obtained for the theoretical density is 4.4 g/cm³. The value obtained for the formation energy is -141 meV per atom.

abc: 4.1976 4.1976 33.5224
angles: 90.00 90.00 120.00
Space group R-3m (No. 166, hexagonal axes)
One atom of each set of equivalent atoms:
Sr (0.0000, 0.0000, 0.1176) [6 per cell]
Pu (0.0000, 0.0000, 0.0000) [3 per cell]
P (0.0000, 0.0000, 0.5000) [3 per cell]


VASP calculation (PBE) on a relaxed FeCu5 crystal.

Calculated values
The value obtained for the theoretical density is 8.6 g/cm³. The value obtained for the formation energy is 88 meV per atom.

abc: 4.228 2.521 13.463
angles: 90.00 90.00 90.00
Space group Amm2 (No. 38)
One atom of each set of equivalent atoms:
Fe (0.000, 0.000, 0.000) [2 per cell]
Cu (0.000, 0.000, 0.333) [2 per cell]
Cu (0.000, 0.000, 0.667) [2 per cell]
Cu (0.500, 0.000, 0.109) [2 per cell]
Cu (0.500, 0.000, 0.442) [2 per cell]
Cu (0.500, 0.000, 0.776) [2 per cell]


VASP calculation (PBE) on a relaxed KScFe crystal.

Calculated values
The value obtained for the theoretical density is 2.7 g/cm³. The value obtained for the formation energy is 1720 meV per atom. The calculation puts the energy above the most stable polymorph in this dataset at 3.37 eV/f.u.

abc: 7.043 7.043 7.043
angles: 90.00 90.00 90.00
Space group F-43m (No. 216)
One atom of each set of equivalent atoms:
K (0.000, 0.000, 0.000) [4 per cell]
Sc (0.250, 0.250, 0.250) [4 per cell]
Fe (0.250, 0.250, 0.750) [4 per cell]


VASP calculation (PBE) on a relaxed Pr6Dy3Er2Th crystal.

Calculated values
The value obtained for the theoretical density is 7.8 g/cm³. The value obtained for the formation energy is 34 meV per atom.

abc: 6.294 10.896 11.966
angles: 90.00 100.12 90.00
Space group C2/m (No. 12)
One atom of each set of equivalent atoms:
Pr (0.247, 0.000, 0.251) [4 per cell]
Pr (0.248, 0.165, 0.749) [8 per cell]
Dy (0.000, 0.167, 0.000) [4 per cell]
Dy (0.000, 0.500, 0.000) [2 per cell]
Er (0.000, 0.333, 0.500) [4 per cell]
Th (0.000, 0.000, 0.500) [2 per cell]


VASP calculation (PBE) on a relaxed PmNdY5 crystal.

Calculated values
The value obtained for the theoretical density is 4.1 g/cm³. The value obtained for the formation energy is 1074 meV per atom. The calculation puts the energy above the most stable polymorph in this dataset at 6.83 eV/f.u.

abc: 5.799 8.632 11.886
angles: 90.00 90.00 90.00
Space group Immm (No. 71)
One atom of each set of equivalent atoms:
Pm (0.000, 0.000, 0.000) [2 per cell]
Nd (0.000, 0.000, 0.500) [2 per cell]
Y (0.000, 0.000, 0.252) [4 per cell]
Y (0.000, 0.321, 0.500) [4 per cell]
Y (0.000, 0.500, 0.000) [2 per cell]


VASP calculation (PBE) on a relaxed CsBaAg2 crystal.

Calculated values
The value obtained for the theoretical density is 5.2 g/cm³. The value obtained for the formation energy is -2 meV per atom. The calculation puts the energy above the most stable polymorph in this dataset at 0.39 eV/f.u.

abc: 8.503 8.503 8.503
angles: 90.00 90.00 90.00
Space group Fm-3m (No. 225)
One atom of each set of equivalent atoms:
Cs (0.000, 0.000, 0.000) [4 per cell]
Ba (0.000, 0.000, 0.500) [4 per cell]
Ag (0.250, 0.250, 0.250) [8 per cell]